[1]
Here is crystalline Cr2NiP at its relaxed geometry from Alexandria via LeMat-Bulk. Energies are from GGA-PBE.

a b c (Å): 3.4997 3.4997 7.3001
angles (deg): 90.00 90.00 90.00
Sites, in units of the cell vectors:
Cr 0.0000 0.5000 0.2500
Cr 0.0000 0.5000 0.7500
Cr 0.5000 0.0000 0.2500
Cr 0.5000 0.0000 0.7500
Ni 0.0000 0.0000 0.0000
Ni 0.5000 0.5000 0.5000
P 0.0000 0.0000 0.5000
P 0.5000 0.5000 0.0000

Properties
DFT formation energy ... -0.13 eV per atom

***

[2]
Here is crystalline Pa2CrNi12P3 at its relaxed geometry from Alexandria via LeMat-Bulk. Energies are from GGA-PBE.

a b c (Å): 6.2736 6.2736 6.2736
angles (deg): 84.63 84.63 84.63
Sites, in units of the cell vectors:
Pa 0.1710 0.1710 0.1710
Pa 0.8290 0.8290 0.8290
Cr 0.5000 0.5000 0.5000
Ni 0.1152 0.1152 0.6067
Ni 0.1152 0.6067 0.1152
Ni 0.1831 0.6881 0.6881
Ni 0.3119 0.3119 0.8169
Ni 0.3119 0.8169 0.3119
Ni 0.3933 0.8848 0.8848
Ni 0.6067 0.1152 0.1152
Ni 0.6881 0.1831 0.6881
Ni 0.6881 0.6881 0.1831
Ni 0.8169 0.3119 0.3119
Ni 0.8848 0.3933 0.8848
Ni 0.8848 0.8848 0.3933
P 0.0000 0.5000 0.5000
P 0.5000 0.0000 0.5000
P 0.5000 0.5000 0.0000

Properties
DFT formation energy ... -0.14 eV per atom

***

[3]
Here is crystalline CrNiP2Pd at its relaxed geometry from Alexandria via LeMat-Bulk. Energies are from GGA-PBE.

a b c (Å): 4.1856 4.1856 4.6932
angles (deg): 90.00 90.00 90.00
Sites, in units of the cell vectors:
Cr 0.0000 0.0000 0.0000
Ni 0.5000 0.5000 0.5000
P 0.0000 0.5000 0.5000
P 0.5000 0.0000 0.5000
Pd 0.5000 0.5000 0.0000

Properties
DFT formation energy ... 0.91 eV per atom

***

[4]
Here is crystalline Rb2CrNiP at its relaxed geometry from Alexandria via LeMat-Bulk. Energies are from GGA-PBE.

a b c (Å): 6.6243 6.6243 4.1268
angles (deg): 90.00 90.00 90.00
Sites, in units of the cell vectors:
Rb 0.0000 0.5000 0.0000
Rb 0.5000 0.0000 0.0000
Cr 0.0000 0.0000 0.5000
Ni 0.5000 0.5000 0.0000
P 0.5000 0.5000 0.5000

Properties
DFT formation energy ... 0.49 eV per atom
ΔE to the lowest computed polymorph ... 0.000 eV/atom

***

[5]
Here is crystalline Cr2ReNiP at its relaxed geometry from Alexandria via LeMat-Bulk. Energies are from GGA-PBE.

a b c (Å): 4.7260 4.7260 4.4531
angles (deg): 90.00 90.00 90.00
Sites, in units of the cell vectors:
Cr 0.0000 0.5000 0.0000
Cr 0.5000 0.0000 0.0000
Re 0.0000 0.0000 0.0000
Ni 0.5000 0.5000 0.5000
P 0.0000 0.0000 0.5000

Properties
DFT formation energy ... 1.28 eV per atom

***

[6]
Here is crystalline CrNi2SbP at its relaxed geometry from Alexandria via LeMat-Bulk. Energies are from GGA-PBE.

a b c (Å): 4.2351 4.2351 4.4791
angles (deg): 90.00 90.00 90.00
Sites, in units of the cell vectors:
Cr 0.0000 0.0000 0.0000
Ni 0.0000 0.5000 0.5000
Ni 0.5000 0.0000 0.5000
Sb 0.5000 0.5000 0.0000
P 0.0000 0.0000 0.5000

Properties
Formation energy from raw total energies ... 50 meV/atom